A geometry-optimized Co2IrPd structure. Source: the Alexandria database, functional PBE.

Cell: 5.3808 5.3808 5.3808 Å, 103.97 103.97 121.14°
Atoms (fractional coordinates):
Co  0.1067  0.6250  0.9817
Co  0.3750  0.3567  0.4817
Co  0.6433  0.1250  0.0183
Co  0.8750  0.8933  0.5183
Ir  0.0000  0.0000  0.0000
Ir  0.7500  0.2500  0.5000
Pd  0.2500  0.7500  0.5000
Pd  0.5000  0.5000  0.0000

Output
The calculation puts the calculated density at 11.91 g/cm3. The formation energy comes out at 58 kJ/mol of atoms. The energy comes out at -6.470 eV per atom.